(A)
{"formula": "Ba4InO", "functional": "GGA-PBE", "state": "optimized geometry", "lattice_angstrom": [[5.432, -9.210, 0.000], [5.432, 9.210, 0.000], [-5.415, 0.000, 5.447]], "species": ["Ba", "Ba", "Ba", "Ba", "Ba", "Ba", "Ba", "Ba", "In", "In", "O", "O"], "fractional_positions": [[0.063, 0.670, 0.871], [0.200, 0.308, 0.637], [0.308, 0.200, 0.137], [0.330, 0.937, 0.629], [0.670, 0.063, 0.371], [0.692, 0.800, 0.863], [0.800, 0.692, 0.363], [0.937, 0.330, 0.129], [0.375, 0.625, 0.250], [0.625, 0.375, 0.750], [0.125, 0.875, 0.750], [0.875, 0.125, 0.250]], "sg": "No. 15"}


(B)
{"formula": "Ba4InO", "functional": "GGA-PBE", "state": "optimized geometry", "lattice_angstrom": [[2.811, -10.529, 0.000], [2.811, 10.529, 0.000], [0.000, 0.000, 7.908]], "species": ["Ba", "Ba", "Ba", "Ba", "Ba", "Ba", "Ba", "Ba", "In", "In", "O", "O"], "fractional_positions": [[0.000, 0.000, 0.000], [0.000, 0.000, 0.500], [0.180, 0.820, 0.503], [0.180, 0.820, 0.997], [0.415, 0.585, 0.750], [0.585, 0.415, 0.250], [0.820, 0.180, 0.003], [0.820, 0.180, 0.497], [0.400, 0.600, 0.250], [0.600, 0.400, 0.750], [0.094, 0.906, 0.250], [0.906, 0.094, 0.750]], "sg": "No. 63"}


How far above the most stable structure does each one sit? In meV per atom: (A) 17; (B) 0.


(A)
{"formula": "BaIn2O4", "functional": "GGA-PBE", "state": "optimized geometry", "lattice_angstrom": [[10.580, 0.000, 0.000], [0.000, 5.923, 0.000], [-5.053, 0.000, 13.799]], "species": ["Ba", "Ba", "Ba", "Ba", "Ba", "Ba", "Ba", "Ba", "In", "In", "In", "In", "In", "In", "In", "In", "In", "In", "In", "In", "In", "In", "In", "In", "O", "O", "O", "O", "O", "O", "O", "O", "O", "O", "O", "O", "O", "O", "O", "O", "O", "O", "O", "O", "O", "O", "O", "O", "O", "O", "O", "O", "O", "O", "O", "O"], "fractional_positions": [[0.079, 0.245, 0.439], [0.079, 0.255, 0.939], [0.246, 0.743, 0.310], [0.246, 0.757, 0.810], [0.754, 0.243, 0.190], [0.754, 0.257, 0.690], [0.921, 0.745, 0.061], [0.921, 0.755, 0.561], [0.082, 0.243, 0.186], [0.082, 0.257, 0.686], [0.274, 0.750, 0.071], [0.274, 0.750, 0.571], [0.379, 0.246, 0.694], [0.379, 0.254, 0.194], [0.444, 0.247, 0.447], [0.444, 0.253, 0.947], [0.556, 0.747, 0.053], [0.556, 0.753, 0.553], [0.621, 0.746, 0.806], [0.621, 0.754, 0.306], [0.726, 0.250, 0.429], [0.726, 0.250, 0.929], [0.918, 0.743, 0.314], [0.918, 0.757, 0.814], [0.009, 0.019, 0.268], [0.009, 0.481, 0.768], [0.091, 0.694, 0.446], [0.091, 0.806, 0.946], [0.187, 0.044, 0.614], [0.187, 0.456, 0.114], [0.216, 0.508, 0.655], [0.216, 0.992, 0.155], [0.284, 0.202, 0.817], [0.284, 0.298, 0.317], [0.368, 0.578, 0.980], [0.368, 0.922, 0.480], [0.418, 0.051, 0.065], [0.418, 0.449, 0.565], [0.459, 0.596, 0.192], [0.459, 0.904, 0.692], [0.541, 0.096, 0.308], [0.541, 0.404, 0.808], [0.582, 0.551, 0.435], [0.582, 0.949, 0.935], [0.632, 0.078, 0.520], [0.632, 0.422, 0.020], [0.716, 0.702, 0.683], [0.716, 0.798, 0.183], [0.784, 0.008, 0.845], [0.784, 0.492, 0.345], [0.813, 0.544, 0.886], [0.813, 0.956, 0.386], [0.909, 0.194, 0.054], [0.909, 0.306, 0.554], [0.991, 0.519, 0.232], [0.991, 0.981, 0.732]], "sg": "No. 14"}


(B)
{"formula": "BaIn2O4", "functional": "GGA-PBE", "state": "optimized geometry", "lattice_angstrom": [[10.291, 0.000, 0.000], [0.000, 3.381, 0.000], [0.000, 0.000, 11.905]], "species": ["Ba", "Ba", "Ba", "Ba", "In", "In", "In", "In", "In", "In", "In", "In", "O", "O", "O", "O", "O", "O", "O", "O", "O", "O", "O", "O", "O", "O", "O", "O"], "fractional_positions": [[0.245, 0.250, 0.152], [0.255, 0.750, 0.652], [0.745, 0.250, 0.348], [0.755, 0.750, 0.848], [0.070, 0.250, 0.391], [0.079, 0.250, 0.894], [0.421, 0.750, 0.394], [0.430, 0.750, 0.891], [0.570, 0.250, 0.109], [0.579, 0.250, 0.606], [0.921, 0.750, 0.106], [0.930, 0.750, 0.609], [0.022, 0.750, 0.783], [0.072, 0.250, 0.574], [0.115, 0.750, 0.016], [0.206, 0.750, 0.346], [0.294, 0.250, 0.846], [0.385, 0.250, 0.516], [0.428, 0.750, 0.074], [0.478, 0.250, 0.283], [0.522, 0.750, 0.717], [0.572, 0.250, 0.926], [0.615, 0.750, 0.484], [0.706, 0.750, 0.154], [0.794, 0.250, 0.654], [0.885, 0.250, 0.984], [0.928, 0.750, 0.426], [0.978, 0.250, 0.217]], "sg": "No. 62"}


How far above the most stable structure does each one sit? In meV per atom: (A) 16; (B) 0.


(A)
{"formula": "BaInO", "functional": "GGA-PBE", "state": "optimized geometry", "lattice_angstrom": [[4.020, 0.000, 0.000], [0.000, 4.020, 0.000], [0.000, 0.000, 10.598]], "species": ["Ba", "Ba", "In", "In", "O", "O"], "fractional_positions": [[0.250, 0.250, 0.130], [0.750, 0.750, 0.870], [0.250, 0.750, 0.500], [0.750, 0.250, 0.500], [0.250, 0.250, 0.893], [0.750, 0.750, 0.107]], "sg": "No. 129"}


(B)
{"formula": "BaInO", "functional": "GGA-PBE", "state": "optimized geometry", "lattice_angstrom": [[3.685, 0.000, 0.000], [0.000, 3.685, 0.000], [0.000, 0.000, 5.810]], "species": ["Ba", "In", "O"], "fractional_positions": [[0.000, 0.000, 0.000], [0.500, 0.500, 0.500], [0.500, 0.500, 0.874]], "sg": "No. 99"}


How far above the most stable structure does each one sit? In meV per atom: (A) 155; (B) 0.


(A)
{"formula": "BaInO", "functional": "GGA-PBE", "state": "optimized geometry", "lattice_angstrom": [[4.498, 0.000, 0.000], [0.000, 4.498, 0.000], [0.000, 0.000, 10.433]], "species": ["Ba", "Ba", "In", "In", "O", "O"], "fractional_positions": [[0.250, 0.250, 0.113], [0.750, 0.750, 0.887], [0.250, 0.250, 0.508], [0.750, 0.750, 0.492], [0.250, 0.750, 0.000], [0.750, 0.250, 0.000]], "sg": "No. 129"}


(B)
{"formula": "BaInO", "functional": "GGA-PBE", "state": "optimized geometry", "lattice_angstrom": [[3.679, 0.000, 0.000], [0.000, 3.700, 5.801], [0.000, -3.700, 5.801]], "species": ["Ba", "Ba", "In", "In", "O", "O"], "fractional_positions": [[0.000, 0.000, 0.000], [0.000, 0.488, 0.488], [0.500, 0.512, 0.976], [0.500, 0.976, 0.512], [0.500, 0.177, 0.685], [0.500, 0.685, 0.177]], "sg": "No. 38"}


How far above the most stable structure does each one sit? In meV per atom: (A) 194; (B) 0.


(A)
{"formula": "BaIn3O", "functional": "GGA-PBE", "state": "optimized geometry", "lattice_angstrom": [[6.548, 0.000, 0.000], [0.000, 6.548, 0.000], [0.000, 0.000, 6.548]], "species": ["Ba", "In", "In", "In", "O"], "fractional_positions": [[0.000, 0.000, 0.000], [0.000, 0.000, 0.500], [0.000, 0.500, 0.000], [0.500, 0.000, 0.000], [0.500, 0.500, 0.500]], "sg": "No. 221"}


(B)
{"formula": "BaIn3O", "functional": "GGA-PBE", "state": "optimized geometry", "lattice_angstrom": [[5.159, 0.000, 0.000], [0.000, 5.159, 0.000], [0.000, 0.000, 5.159]], "species": ["Ba", "In", "In", "In", "O"], "fractional_positions": [[0.000, 0.000, 0.000], [0.000, 0.500, 0.500], [0.500, 0.000, 0.500], [0.500, 0.500, 0.000], [0.500, 0.500, 0.500]], "sg": "No. 221"}


How far above the most stable structure does each one sit? In meV per atom: (A) 1571; (B) 0.


(A)
{"formula": "Ba2PaInO6", "functional": "GGA-PBE", "state": "optimized geometry", "lattice_angstrom": [[0.000, 4.361, 4.361], [4.361, 0.000, 4.361], [4.361, 4.361, 0.000]], "species": ["Ba", "Ba", "Pa", "In", "O", "O", "O", "O", "O", "O"], "fractional_positions": [[0.250, 0.250, 0.250], [0.750, 0.750, 0.750], [0.000, 0.000, 0.000], [0.500, 0.500, 0.500], [0.249, 0.249, 0.751], [0.249, 0.751, 0.249], [0.249, 0.751, 0.751], [0.751, 0.249, 0.249], [0.751, 0.249, 0.751], [0.751, 0.751, 0.249]], "sg": "No. 225"}


(B)
{"formula": "Ba2PaInO6", "functional": "GGA-PBE", "state": "optimized geometry", "lattice_angstrom": [[4.379, 0.000, 0.000], [0.000, 4.379, 0.000], [0.000, 0.000, 8.740]], "species": ["Ba", "Ba", "Pa", "In", "O", "O", "O", "O", "O", "O"], "fractional_positions": [[0.000, 0.000, 0.215], [0.000, 0.000, 0.785], [0.500, 0.500, 0.500], [0.500, 0.500, 0.000], [0.000, 0.500, 0.000], [0.000, 0.500, 0.500], [0.500, 0.000, 0.000], [0.500, 0.000, 0.500], [0.500, 0.500, 0.256], [0.500, 0.500, 0.744]], "sg": "No. 123"}


How far above the most stable structure does each one sit? In meV per atom: (A) 0; (B) 20.


(A)
{"formula": "Ba2InPbO", "functional": "GGA-PBE", "state": "optimized geometry", "lattice_angstrom": [[6.977, 0.000, 0.000], [0.000, 4.832, 0.000], [-3.205, 0.000, 10.434]], "species": ["Ba", "Ba", "Ba", "Ba", "In", "In", "Pb", "Pb", "O", "O"], "fractional_positions": [[0.222, 0.250, 0.444], [0.241, 0.750, 0.037], [0.759, 0.250, 0.963], [0.778, 0.750, 0.556], [0.145, 0.250, 0.753], [0.855, 0.750, 0.247], [0.378, 0.750, 0.707], [0.622, 0.250, 0.293], [0.118, 0.250, 0.943], [0.882, 0.750, 0.057]], "sg": "No. 11"}


(B)
{"formula": "Ba2InPbO", "functional": "GGA-PBE", "state": "optimized geometry", "lattice_angstrom": [[5.411, 0.000, 0.000], [0.000, 5.411, 0.000], [0.000, 0.000, 5.281]], "species": ["Ba", "Ba", "In", "Pb", "O"], "fractional_positions": [[0.000, 0.500, 0.000], [0.500, 0.000, 0.000], [0.000, 0.000, 0.500], [0.500, 0.500, 0.500], [0.000, 0.000, 0.000]], "sg": "No. 123"}


How far above the most stable structure does each one sit? In meV per atom: (A) 0; (B) 46.


(A)
{"formula": "Ba2InSbO", "functional": "GGA-PBE", "state": "optimized geometry", "lattice_angstrom": [[7.196, 0.000, 0.000], [0.000, 4.634, 0.000], [-2.865, 0.000, 10.058]], "species": ["Ba", "Ba", "Ba", "Ba", "In", "In", "Sb", "Sb", "O", "O"], "fractional_positions": [[0.175, 0.250, 0.392], [0.294, 0.750, 0.085], [0.706, 0.250, 0.915], [0.825, 0.750, 0.608], [0.351, 0.750, 0.670], [0.649, 0.250, 0.330], [0.180, 0.250, 0.793], [0.820, 0.750, 0.207], [0.345, 0.250, 0.213], [0.655, 0.750, 0.787]], "sg": "No. 11"}


(B)
{"formula": "Ba2InSbO", "functional": "GGA-PBE", "state": "optimized geometry", "lattice_angstrom": [[5.491, 0.000, 0.000], [0.000, 5.491, 0.000], [0.000, 0.000, 5.075]], "species": ["Ba", "Ba", "In", "Sb", "O"], "fractional_positions": [[0.000, 0.500, 0.000], [0.500, 0.000, 0.000], [0.000, 0.000, 0.500], [0.500, 0.500, 0.500], [0.000, 0.000, 0.000]], "sg": "No. 123"}


How far above the most stable structure does each one sit? In meV per atom: (A) 0; (B) 123.